# 1
DFT (PBE-GGA) results for an optimized crystal structure of RbV2PbI.

The raw formation energy is 1.77 eV/atom. The calculation puts the total energy at -3.12 eV per atom.

abc: 5.538 6.268 5.538
angles: 90.00 90.00 90.00
Last column: magnetic moment on the atom in μB.
Sites, in units of the cell vectors:
V 0.000 0.000 0.500  3.28
V 0.500 0.000 0.000  3.33
Pb 0.500 0.500 0.500  -0.07
I 0.000 0.500 0.000  0.07
Rb 0.000 0.000 0.000  0.17


# 2
DFT (PBE-GGA) results for an optimized crystal structure of RbYPbI6.

The raw formation energy is -1.18 eV/atom. The calculation puts the total energy at -3.46 eV per atom.

abc: 8.177 8.177 15.997
angles: 90.00 90.00 120.00
Sites, in units of the cell vectors:
Y 0.333 0.667 0.750
Y 0.667 0.333 0.250
I 0.620 0.639 0.637
I 0.361 0.981 0.637
I 0.981 0.620 0.363
I 0.361 0.380 0.863
I 0.639 0.019 0.363
I 0.981 0.361 0.137
I 0.019 0.639 0.863
I 0.380 0.019 0.137
I 0.620 0.981 0.863
I 0.639 0.620 0.137
I 0.380 0.361 0.363
I 0.019 0.380 0.637
Pb 0.667 0.333 0.750
Pb 0.333 0.667 0.250
Rb 0.000 0.000 0.500
Rb 0.000 0.000 0.000


# 3
DFT (PBE-GGA) results for an optimized crystal structure of RbYPb2I8.

The raw formation energy is -0.99 eV/atom. The calculation puts the total energy at -3.26 eV per atom.

abc: 7.827 7.394 9.869
angles: 89.88 89.95 88.69
Sites, in units of the cell vectors:
Y 0.000 0.000 0.000
I 0.326 0.233 0.000
I 0.153 0.751 0.786
I 0.674 0.767 0.000
I 0.624 0.733 0.500
I 0.152 0.750 0.215
I 0.847 0.249 0.214
I 0.376 0.267 0.500
I 0.848 0.250 0.785
Pb 0.500 0.500 0.751
Pb 0.500 0.500 0.249
Rb 0.000 0.000 0.500


# 4
DFT (PBE-GGA) results for an optimized crystal structure of Rb2YPbI6.

The raw formation energy is -1.09 eV/atom. The calculation puts the total energy at -3.23 eV per atom.

abc: 8.791 8.791 9.201
angles: 61.46 61.46 90.00
Last column: magnetic moment on the atom in μB.
Sites, in units of the cell vectors:
I 0.276 0.276 0.448  0.03
I 0.724 0.724 0.552  0.03
I 0.257 0.257 0.000  0.00
I 0.743 0.743 0.000  0.00
I 0.743 0.257 0.000  0.00
I 0.257 0.743 0.000  0.00
Pb 0.000 0.000 0.000  0.28
Rb 0.250 0.750 0.500  0.00
Rb 0.750 0.250 0.500  0.00
Y 0.500 0.500 0.000  0.09


# 5
DFT (PBE-GGA) results for an optimized crystal structure of Rb2ZnPbI6.

The energy above the most stable polymorph in this dataset comes out at 56.9 meV/atom. The raw formation energy is -0.87 eV/atom. The calculation puts the total energy at -2.49 eV per atom.

abc: 8.548 8.548 8.553
angles: 60.02 60.02 90.00
Sites, in units of the cell vectors:
I 0.737 0.737 0.526
I 0.737 0.737 0.000
I 0.263 0.263 0.474
I 0.263 0.737 0.000
I 0.263 0.263 0.000
I 0.737 0.263 0.000
Rb 0.250 0.750 0.500
Rb 0.750 0.250 0.500
Pb 0.000 0.000 0.000
Zn 0.500 0.500 0.000


# 6
DFT (PBE-GGA) results for an optimized crystal structure of Rb2ZnPbI6.

The energy above the most stable polymorph in this dataset comes out at 0.0 meV/atom. The raw formation energy is -0.93 eV/atom. The calculation puts the total energy at -2.55 eV per atom.

abc: 8.581 8.579 9.735
angles: 63.81 63.85 60.01
Sites, in units of the cell vectors:
Rb 0.524 0.524 0.428
Rb 0.037 0.037 0.888
Pb 0.815 0.815 0.557
I 0.580 0.187 0.235
I 0.689 0.088 0.736
I 0.187 0.997 0.235
I 0.488 0.689 0.735
I 0.088 0.488 0.736
I 0.997 0.580 0.236
Zn 0.257 0.257 0.228


# 7
DFT (PBE-GGA) results for an optimized crystal structure of Rb2ZrPbI6.

The raw formation energy is -0.88 eV/atom. The calculation puts the total energy at -3.23 eV per atom.

abc: 8.740 8.740 8.741
angles: 60.00 60.00 90.00
Last column: magnetic moment on the atom in μB.
Sites, in units of the cell vectors:
I 0.740 0.740 0.000  0.00
I 0.260 0.740 0.000  0.00
I 0.740 0.260 0.000  0.00
I 0.260 0.260 0.000  0.00
I 0.740 0.740 0.521  0.00
I 0.260 0.260 0.479  0.00
Rb 0.750 0.250 0.500  0.00
Rb 0.250 0.750 0.500  0.00
Zr 0.500 0.500 0.000  1.12
Pb 0.000 0.000 0.000  0.08


# 8
DFT (PBE-GGA) results for an optimized crystal structure of RbZrPb2I.

The raw formation energy is 1.27 eV/atom. The calculation puts the total energy at -2.43 eV per atom.

abc: 6.118 6.118 6.122
angles: 90.00 90.00 90.00
Last column: magnetic moment on the atom in μB.
Sites, in units of the cell vectors:
Pb 0.000 0.500 0.000  -0.06
Pb 0.500 0.000 0.000  -0.06
Zr 0.500 0.500 0.500  1.39
Rb 0.000 0.000 0.000  -0.02
I 0.000 0.000 0.500  0.02


# 9
DFT (PBE-GGA) results for an optimized crystal structure of RePb2I.

The energy above the most stable polymorph in this dataset comes out at 0.0 meV/atom. The raw formation energy is 1.00 eV/atom. The calculation puts the total energy at -4.36 eV per atom.

abc: 6.821 6.821 8.407
angles: 66.07 66.07 90.00
Sites, in units of the cell vectors:
Pb 0.024 0.625 0.250
Pb 0.375 0.274 0.750
Pb 0.875 0.976 0.750
Pb 0.726 0.125 0.250
I 0.250 0.750 0.500
I 0.500 0.500 0.000
Re 0.000 0.000 0.000
Re 0.750 0.250 0.500


# 10
DFT (PBE-GGA) results for an optimized crystal structure of Re2PbI.

The energy above the most stable polymorph in this dataset comes out at 0.0 meV/atom. The raw formation energy is 1.52 eV/atom. The calculation puts the total energy at -6.02 eV per atom.

abc: 4.746 4.746 4.746
angles: 60.00 60.00 60.00
Sites, in units of the cell vectors:
I 0.000 0.000 0.000
Re 0.250 0.250 0.250
Re 0.750 0.750 0.750
Pb 0.500 0.500 0.500


# 11
DFT (PBE-GGA) results for an optimized crystal structure of RePb2I.

The energy above the most stable polymorph in this dataset comes out at 221.4 meV/atom. The raw formation energy is 1.22 eV/atom. The calculation puts the total energy at -4.14 eV per atom.

abc: 5.397 5.397 5.397
angles: 60.00 60.00 60.00
Last column: magnetic moment on the atom in μB.
Sites, in units of the cell vectors:
Pb 0.750 0.750 0.750  -0.05
Pb 0.250 0.250 0.250  -0.05
Re 0.500 0.500 0.500  2.39
I 0.000 0.000 0.000  0.06


Number 1: total magnetic moment 8.8 μB/cell. Number 2: total magnetic moment 0.0 μB/cell. Number 3: total magnetic moment 0.0 μB/cell. Number 4: total magnetic moment 1.0 μB/cell. Number 5: total magnetic moment 0.0 μB/cell. Number 6: total magnetic moment 0.0 μB/cell. Number 7: total magnetic moment 2.0 μB/cell. Number 8: total magnetic moment 1.9 μB/cell. Number 9: total magnetic moment 0.0 μB/cell. Number 10: total magnetic moment 0.0 μB/cell. Number 11: total magnetic moment 2.7 μB/cell.